Compound: Pr2InCoO6
Source: the Alexandria database
Functional: GGA+U
Structure: relaxed

Summary:
For the total energy, the calculation gives -0.2566 hartree per atom. Its total moment is 0.01 μB per formula unit. The symmetry is No. 14.

Cell: 5.558 5.748 7.951 Å, 90.00 90.70 90.00°
Positions (direct):
Pr: 0.016 0.944 0.250
Pr: 0.516 0.556 0.750
Pr: 0.984 0.056 0.750
Pr: 0.484 0.444 0.250
In: 0.500 0.000 0.000
In: 0.000 0.500 0.500
Co: 0.500 0.000 0.500
Co: 0.000 0.500 0.000
O: 0.283 0.693 0.050
O: 0.783 0.807 0.550
O: 0.717 0.307 0.950
O: 0.217 0.193 0.450
O: 0.311 0.718 0.446
O: 0.811 0.782 0.946
O: 0.689 0.282 0.554
O: 0.189 0.218 0.054
O: 0.902 0.530 0.236
O: 0.402 0.970 0.736
O: 0.098 0.470 0.764
O: 0.598 0.030 0.264